No. 1
This record from the Alexandria database describes a geometry-optimized La5HoTl6 structure. The functional is PBE.

Energy of formation   -0.41 eV per atom
SG   No. 65

Cell lengths 8.8859, 8.8859, 7.8291 Å; angles 90.00, 90.00, 143.18 degrees
Positions (direct):
La: 0.0000 0.0000 0.0000
La: 0.3277 0.6723 0.0000
La: 0.3343 0.6657 0.5000
La: 0.6657 0.3343 0.5000
La: 0.6723 0.3277 0.0000
Ho: 0.0000 0.0000 0.5000
Tl: 0.1612 0.8388 0.2585
Tl: 0.1612 0.8388 0.7415
Tl: 0.5000 0.5000 0.2546
Tl: 0.5000 0.5000 0.7454
Tl: 0.8388 0.1612 0.2585
Tl: 0.8388 0.1612 0.7415

***

No. 2
This record from the Alexandria database describes a geometry-optimized Sc2ZnTc structure. The functional is PBE.

Energy of formation   -0.09 eV per atom
SG   No. 99

Cell lengths 3.3732, 3.3732, 6.7104 Å; angles 90.00, 90.00, 90.00 degrees
Positions (direct):
Sc: 0.0000 0.0000 0.0000
Sc: 0.5000 0.5000 0.3710
Zn: 0.5000 0.5000 0.7809
Tc: 0.0000 0.0000 0.6022

***

No. 3
This record from the Alexandria database describes a geometry-optimized Pa2Bi3Pd2 structure. The functional is PBE.

Energy of formation   -0.21 eV per atom
SG   No. 71

Cell lengths 9.7243, 9.7243, 9.7243 Å; angles 154.99, 151.18, 38.52 degrees
Positions (direct):
Pa: 0.1442 0.1442 0.0000
Pa: 0.8558 0.8558 0.0000
Bi: 0.0000 0.5000 0.5000
Bi: 0.3213 0.3213 0.0000
Bi: 0.6787 0.6787 0.0000
Pd: 0.4301 0.9301 0.5000
Pd: 0.5699 0.0699 0.5000

***

No. 4
This record from the Alexandria database describes a geometry-optimized CaAcAg2Pb2 structure. The functional is PBE.

Energy of formation   -0.41 eV per atom
SG   No. 164

Cell lengths 4.9565, 4.9565, 7.9412 Å; angles 90.00, 90.00, 120.00 degrees
Positions (direct):
Ca: 0.0000 0.0000 0.0000
Ac: 0.0000 0.0000 0.5000
Ag: 0.3333 0.6667 0.1992
Ag: 0.6667 0.3333 0.8008
Pb: 0.3333 0.6667 0.7548
Pb: 0.6667 0.3333 0.2452

***

No. 5
This record from the Alexandria database describes a geometry-optimized ZnCo2MoW structure. The functional is PBE.

Energy of formation   1.69 eV per atom
SG   No. 123

Cell lengths 4.4376, 4.4376, 4.7245 Å; angles 90.00, 90.00, 90.00 degrees
Positions (direct):
Zn: 0.0000 0.0000 0.0000
Co: 0.0000 0.5000 0.5000
Co: 0.5000 0.0000 0.5000
Mo: 0.5000 0.5000 0.5000
W: 0.5000 0.5000 0.0000

***

No. 6
This record from the Alexandria database describes a geometry-optimized BaCaAs2O6 structure. The functional is PBE.

ΔE_f (raw)   -1.838 eV per atom
SG   No. 148

Cell lengths 6.8498, 6.8498, 6.8498 Å; angles 50.77, 50.77, 50.77 degrees
Positions (direct):
Ba: 0.0000 0.0000 0.0000
Ca: 0.5000 0.5000 0.5000
As: 0.2693 0.2693 0.2693
As: 0.7307 0.7307 0.7307
O: 0.0565 0.4909 0.7278
O: 0.2722 0.9435 0.5091
O: 0.4909 0.7278 0.0565
O: 0.5091 0.2722 0.9435
O: 0.7278 0.0565 0.4909
O: 0.9435 0.5091 0.2722